[1]
# K2Ag3Sn9

Crystalline K2Ag3Sn9 at its relaxed geometry (PBE, Alexandria).

Values from the calculation:
Energy of formation (eV/atom): -0.0506
Final energy (eV per atom): -3.3916
Mass density (g cm⁻³): 6.162
Volume (Å³/cell): 792

Lattice parameters (Å, degrees): 8.356 8.356 13.921 89.86 107.92 119.44
Positions (direct):
Sn 0.881 0.131 0.750
K 0.656 0.750 0.252
Sn 0.797 0.488 0.435
Ag 0.201 0.364 0.058
Ag 0.500 0.000 0.000
K 0.998 0.404 0.248
Sn 0.810 0.289 0.935
Sn 0.472 0.918 0.768
Sn 0.146 0.125 0.435
Ag 0.799 0.636 0.942
Ag 0.500 0.500 0.500
Sn 0.854 0.875 0.565
Ag 0.806 0.143 0.442
Ag 0.194 0.857 0.558
Sn 0.418 0.815 0.432
Sn 0.203 0.512 0.565
Sn 0.350 0.296 0.268
Sn 0.883 0.985 0.068
K 0.002 0.596 0.752
Sn 0.528 0.082 0.232
Sn 0.190 0.711 0.065
Sn 0.117 0.015 0.932
K 0.344 0.250 0.748
Sn 0.119 0.869 0.250
Sn 0.650 0.704 0.732
Sn 0.582 0.185 0.568
Sn 0.448 0.639 0.935
Sn 0.552 0.361 0.065


[2]
# AcNdSmTl

Crystalline AcNdSmTl at its relaxed geometry (PBE, Alexandria).

Values from the calculation:
Energy of formation (eV/atom): -0.0064
Final energy (eV per atom): -3.9969
Excess energy over the best structure of this formula in the dataset (kJ/mol of atoms): 1.9
Mass density (g cm⁻³): 9.139
Volume (Å³/cell): 132

Lattice parameters (Å, degrees): 5.714 5.714 5.714 60.00 60.00 60.00
Positions (direct):
Nd 0.750 0.750 0.750
Sm 0.250 0.250 0.250
Tl 0.000 0.000 0.000
Ac 0.500 0.500 0.500


Number 1 is which compound? K2Ag3Sn9